Entry from Alexandria via LeMat-Bulk: crystalline HoCdSn4 at its relaxed geometry (PBE).

energy relative to the elements: -91.7 meV per atom
volume: 27.533 A^3/atom
DOS at the Fermi energy: 0.45 states/eV/atom
ρ: 7.56 Mg/m³
SG: No. 216

abc: 6.1590 6.1590 6.1590
angles: 60.00 60.00 60.00
Closest atoms and distances in Å follow each position.
Positions (direct):
Ho 0.0000 0.0000 0.0000  12 Sn 3.61, 4 Cd 3.77
Cd 0.7500 0.7500 0.7500  12 Sn 3.61, 4 Ho 3.77
Sn 0.3749 0.3749 0.3749  6 Sn 3.08
Sn 0.3749 0.3749 0.8753  6 Sn 3.08
Sn 0.3749 0.8753 0.3749  6 Sn 3.08
Sn 0.8753 0.3749 0.3749  6 Sn 3.08

***

Entry from Alexandria via LeMat-Bulk: crystalline HoCdSn at its relaxed geometry (PBE).

energy relative to the elements: -280.3 meV per atom
volume: 25.665 A^3/atom
DOS at the Fermi energy: 0.66 states/eV/atom
ρ: 8.54 Mg/m³
SG: No. 107

abc: 6.6236 6.6236 6.6236
angles: 148.97 148.97 44.46
Closest atoms and distances in Å follow each position.
Positions (direct):
Ho 0.0000 0.0000 0.0000  4 Cd 3.25, 4 Sn 3.28, 4 Ho 3.54
Cd 0.6692 0.6692 0.0000  4 Sn 3.17, 4 Ho 3.25, 4 Cd 3.54
Sn 0.3272 0.3272 0.0000  4 Cd 3.17, 4 Ho 3.28, 4 Sn 3.54

***

Entry from Alexandria via LeMat-Bulk: crystalline Ho2Cd3Sn3 at its relaxed geometry (PBE).

energy relative to the elements: -420.2 meV per atom
volume: 24.373 A^3/atom
DOS at the Fermi energy: 0.38 states/eV/atom
ρ: 8.71 Mg/m³
SG: No. 47

abc: 4.5950 4.7705 8.8952
angles: 90.00 90.00 90.00
Closest atoms and distances in Å follow each position.
Positions (direct):
Ho 0.0000 0.0000 0.2447  6 Sn 3.16-3.23, 6 Cd 3.29-3.31
Ho 0.0000 0.0000 0.7553  6 Sn 3.16-3.23, 6 Cd 3.29-3.31
Cd 0.0000 0.5000 0.5000  4 Cd 3.14, 4 Ho 3.29, 4 Sn 3.31
Cd 0.5000 0.5000 0.2597  2 Cd 3.14, 6 Sn 3.20-3.32, 4 Ho 3.31
Cd 0.5000 0.5000 0.7403  2 Cd 3.14, 6 Sn 3.20-3.32, 4 Ho 3.31
Sn 0.0000 0.5000 0.0000  4 Ho 3.23, 4 Cd 3.26, 4 Sn 3.31
Sn 0.5000 0.0000 0.0000  4 Ho 3.16, 4 Sn 3.31, 4 Cd 3.32
Sn 0.5000 0.0000 0.5000  8 Cd 3.20-3.31, 4 Ho 3.23

***

Entry from Alexandria via LeMat-Bulk: crystalline Ho2CdSn4 at its relaxed geometry (PBE).

energy relative to the elements: -364.9 meV per atom
volume: 26.976 A^3/atom
DOS at the Fermi energy: 0.57 states/eV/atom
ρ: 8.06 Mg/m³
SG: No. 115

abc: 4.4433 4.4433 9.5647
angles: 90.00 90.00 90.00
Closest atoms and distances in Å follow each position.
Positions (direct):
Ho 0.0000 0.5000 0.2421  8 Sn 3.17-3.32, 2 Cd 3.21
Ho 0.5000 0.0000 0.7579  8 Sn 3.17-3.32, 2 Cd 3.21
Cd 0.5000 0.5000 0.0000  4 Sn 2.90, 4 Ho 3.21
Sn 0.0000 0.0000 0.5000  4 Sn 3.14, 4 Ho 3.32
Sn 0.0000 0.5000 0.8057  2 Cd 2.90, 4 Ho 3.17
Sn 0.5000 0.0000 0.1943  2 Cd 2.90, 4 Ho 3.17
Sn 0.5000 0.5000 0.5000  4 Sn 3.14, 4 Ho 3.32

***

Entry from Alexandria via LeMat-Bulk: crystalline Ho4Cd3Sn at its relaxed geometry (PBE).

energy relative to the elements: -403.2 meV per atom
volume: 25.912 A^3/atom
DOS at the Fermi energy: 0.94 states/eV/atom
ρ: 8.94 Mg/m³
SG: No. 47

abc: 3.7432 5.2517 10.5450
angles: 90.00 90.00 90.00
Closest atoms and distances in Å follow each position.
Positions (direct):
Ho 0.0000 0.0000 0.0000  8 Cd 3.16-3.22
Ho 0.0000 0.0000 0.5000  4 Sn 3.22, 4 Cd 3.30
Ho 0.0000 0.5000 0.2500  6 Cd 3.23, 2 Sn 3.23
Ho 0.0000 0.5000 0.7500  6 Cd 3.23, 2 Sn 3.23
Cd 0.5000 0.0000 0.2420  8 Ho 3.16-3.30
Cd 0.5000 0.0000 0.7580  8 Ho 3.16-3.30
Cd 0.5000 0.5000 0.0000  8 Ho 3.22-3.23
Sn 0.5000 0.5000 0.5000  8 Ho 3.22-3.23

***

Entry from Alexandria via LeMat-Bulk: crystalline Ho5Cd2Sn at its relaxed geometry (PBE).

energy relative to the elements: -348.9 meV per atom
volume: 27.732 A^3/atom
DOS at the Fermi energy: 0.78 states/eV/atom
ρ: 8.74 Mg/m³
SG: No. 140

abc: 8.7537 8.7537 8.7537
angles: 123.83 123.83 83.49
Closest atoms and distances in Å follow each position.
Positions (direct):
Ho 0.0000 0.0000 0.0000  4 Cd 3.20, 2 Sn 3.27
Ho 0.0033 0.5033 0.8110  3 Cd 3.12-3.14, 2 Sn 3.37, 1 Ho 3.37
Ho 0.1923 0.0033 0.5000  3 Cd 3.12-3.14, 2 Sn 3.37, 1 Ho 3.37
Ho 0.3077 0.8077 0.8110  3 Cd 3.12-3.14, 2 Sn 3.37, 1 Ho 3.37
Ho 0.4967 0.3077 0.5000  3 Cd 3.12-3.14, 2 Sn 3.37, 1 Ho 3.37
Ho 0.5000 0.5000 0.0000  4 Cd 3.20, 2 Sn 3.27
Ho 0.5033 0.6923 0.5000  3 Cd 3.12-3.14, 2 Sn 3.37, 1 Ho 3.37
Ho 0.6923 0.1923 0.1890  3 Cd 3.12-3.14, 2 Sn 3.37, 1 Ho 3.37
Ho 0.8077 0.9967 0.5000  3 Cd 3.12-3.14, 2 Sn 3.37, 1 Ho 3.37
Ho 0.9967 0.4967 0.1890  3 Cd 3.12-3.14, 2 Sn 3.37, 1 Ho 3.37
Cd 0.1360 0.3640 0.5000  8 Ho 3.12-3.20, 1 Cd 3.17
Cd 0.3640 0.8640 0.2281  8 Ho 3.12-3.20, 1 Cd 3.17
Cd 0.6360 0.1360 0.7719  8 Ho 3.12-3.20, 1 Cd 3.17
Cd 0.8640 0.6360 0.5000  8 Ho 3.12-3.20, 1 Cd 3.17
Sn 0.2500 0.2500 0.0000  10 Ho 3.27-3.37
Sn 0.7500 0.7500 0.0000  10 Ho 3.27-3.37

***

Entry from Alexandria via LeMat-Bulk: crystalline Ho7Cd2Sn2 at its relaxed geometry (PBE).

energy relative to the elements: -51.6 meV per atom
volume: 30.587 A^3/atom
DOS at the Fermi energy: 1.30 states/eV/atom
ρ: 7.98 Mg/m³
SG: No. 65

abc: 6.7505 6.7505 7.9236
angles: 90.00 90.00 111.28
Closest atoms and distances in Å follow each position.
Positions (direct):
Ho 0.0000 0.0000 0.0000  2 Cd 3.14
Ho 0.0000 0.5000 0.2935  2 Cd 3.03, 2 Sn 3.26, 1 Ho 3.27
Ho 0.0000 0.5000 0.7065  2 Cd 3.03, 2 Sn 3.26, 1 Ho 3.27
Ho 0.5000 0.0000 0.2935  2 Cd 3.03, 2 Sn 3.26, 1 Ho 3.27
Ho 0.5000 0.0000 0.7065  2 Cd 3.03, 2 Sn 3.26, 1 Ho 3.27
Ho 0.5000 0.5000 0.2410  2 Cd 3.09, 2 Sn 3.13, 4 Ho 3.40
Ho 0.5000 0.5000 0.7590  2 Cd 3.09, 2 Sn 3.13, 4 Ho 3.40
Cd 0.2822 0.7178 0.0000  7 Ho 3.03-3.14
Cd 0.7178 0.2822 0.0000  7 Ho 3.03-3.14
Sn 0.1898 0.1898 0.5000  1 Sn 2.89, 2 Ho 3.13
Sn 0.8102 0.8102 0.5000  1 Sn 2.89, 2 Ho 3.13

***

Entry from Alexandria via LeMat-Bulk: crystalline SrHoCdSn at its relaxed geometry (PBE).

energy relative to the elements: -427.5 meV per atom
volume: 29.083 A^3/atom
DOS at the Fermi energy: 0.79 states/eV/atom
ρ: 6.90 Mg/m³
SG: No. 216

abc: 5.4794 5.4794 5.4794
angles: 60.00 60.00 60.00
Closest atoms and distances in Å follow each position.
Positions (direct):
Sr 0.0000 0.0000 0.0000  4 Cd 3.36, 4 Sn 3.36
Ho 0.5000 0.5000 0.5000  4 Cd 3.36, 4 Sn 3.36
Cd 0.7500 0.7500 0.7500  4 Ho 3.36, 4 Sr 3.36
Sn 0.2500 0.2500 0.2500  4 Ho 3.36, 4 Sr 3.36

***

Entry from Alexandria via LeMat-Bulk: crystalline TbHoCdSn at its relaxed geometry (PBE).

energy relative to the elements: -492.8 meV per atom
volume: 26.051 A^3/atom
DOS at the Fermi energy: 0.70 states/eV/atom
ρ: 8.84 Mg/m³
SG: No. 216

abc: 5.2820 5.2820 5.2820
angles: 60.00 60.00 60.00
Closest atoms and distances in Å follow each position.
Positions (direct):
Tb 0.0000 0.0000 0.0000  4 Cd 3.23, 4 Sn 3.23
Ho 0.5000 0.5000 0.5000  4 Cd 3.23, 4 Sn 3.23
Cd 0.7500 0.7500 0.7500  4 Tb 3.23, 4 Ho 3.23
Sn 0.2500 0.2500 0.2500  4 Tb 3.23, 4 Ho 3.23

***

Entry from Alexandria via LeMat-Bulk: crystalline HoThCdSn at its relaxed geometry (PBE).

energy relative to the elements: -342.9 meV per atom
volume: 27.532 A^3/atom
DOS at the Fermi energy: 1.00 states/eV/atom
ρ: 9.47 Mg/m³
SG: No. 216

abc: 5.3803 5.3803 5.3803
angles: 60.00 60.00 60.00
Closest atoms and distances in Å follow each position.
Positions (direct):
Ho 0.0000 0.0000 0.0000  4 Cd 3.29, 4 Sn 3.29
Th 0.5000 0.5000 0.5000  4 Cd 3.29, 4 Sn 3.29
Cd 0.7500 0.7500 0.7500  4 Th 3.29, 4 Ho 3.29
Sn 0.2500 0.2500 0.2500  4 Th 3.29, 4 Ho 3.29

***

Entry from Alexandria via LeMat-Bulk: crystalline HoTmCdSn at its relaxed geometry (PBE).

energy relative to the elements: -461.6 meV per atom
volume: 25.532 A^3/atom
DOS at the Fermi energy: 0.86 states/eV/atom
ρ: 9.19 Mg/m³
SG: No. 216

abc: 5.2467 5.2467 5.2467
angles: 60.00 60.00 60.00
Closest atoms and distances in Å follow each position.
Positions (direct):
Ho 0.0000 0.0000 0.0000  4 Cd 3.21, 4 Sn 3.21
Tm 0.5000 0.5000 0.5000  4 Cd 3.21, 4 Sn 3.21
Cd 0.7500 0.7500 0.7500  4 Tm 3.21, 4 Ho 3.21
Sn 0.2500 0.2500 0.2500  4 Ho 3.21, 4 Tm 3.21

***

Entry from Alexandria via LeMat-Bulk: crystalline HoZnCdSn at its relaxed geometry (PBE).

energy relative to the elements: -381.8 meV per atom
volume: 22.318 A^3/atom
DOS at the Fermi energy: 0.26 states/eV/atom
ρ: 8.58 Mg/m³
SG: No. 47

abc: 4.3669 4.4219 4.6230
angles: 90.00 90.00 90.00
Closest atoms and distances in Å follow each position.
Positions (direct):
Ho 0.0000 0.0000 0.0000  4 Sn 3.11, 4 Zn 3.18, 4 Cd 3.20
Zn 0.5000 0.0000 0.5000  4 Cd 3.11, 4 Ho 3.18, 4 Sn 3.20
Cd 0.0000 0.5000 0.5000  4 Zn 3.11, 4 Sn 3.18, 4 Ho 3.20
Sn 0.5000 0.5000 0.0000  4 Ho 3.11, 4 Cd 3.18, 4 Zn 3.20

***

Q: What is the volume in the second record?
A: 25.665 A^3/atom

***

Q: volume of number 6 (Ho5Cd2Sn)?
A: 27.732 A^3/atom